Entry 1:
This record from Alexandria via LeMat-Bulk describes a geometry-optimized In5Ga2Au12 structure. The functional is PBE.

Output
Magnetic moment in μB per cell: 0.00
E_form in meV per atom: -122
Distance to the lowest polymorph of the same formula in kJ/mol of atoms: 1.5
Final energy in Ry per atom: -0.237

```
data_In5Ga2Au12
_chemical_formula_sum 'In5 Ga2 Au12'
_cell_length_a 9.0381
_cell_length_b 7.3784
_cell_length_c 8.0190
_cell_angle_alpha 75.27
_cell_angle_beta 90.00
_cell_angle_gamma 127.77
_symmetry_space_group_name_H-M 'P 1'
_symmetry_Int_Tables_number 1
_symmetry_space_group_name_Hall 'P 1'
loop_
_atom_site_label
_atom_site_type_symbol
_atom_site_fract_x
_atom_site_fract_y
_atom_site_fract_z
Au1 Au 0.0826 0.6938 0.3414
In1 In 0.0000 0.0000 0.5000
Au2 Au 0.5144 0.0288 0.7823
Au3 Au 0.9174 0.3062 0.6586
Au4 Au 0.3888 0.3062 0.6586
Au5 Au 0.4856 0.9712 0.2177
In2 In 0.7209 0.4419 0.9118
Au6 Au 0.0120 0.0241 0.1654
Au7 Au 0.4203 0.3083 0.1901
Au8 Au 0.6112 0.6938 0.3414
In3 In 0.3254 0.6508 0.5745
Au9 Au 0.1120 0.6917 0.8099
Au10 Au 0.9880 0.9759 0.8346
In4 In 0.6746 0.3492 0.4255
In5 In 0.2791 0.5581 0.0882
Au11 Au 0.8880 0.3083 0.1901
Ga1 Ga 0.2520 0.0000 0.0000
Ga2 Ga 0.7480 0.0000 0.0000
Au12 Au 0.5797 0.6917 0.8099
```

---

Entry 2:
This record from Alexandria via LeMat-Bulk describes a geometry-optimized InGa2Au structure. The functional is PBE.

Output
Magnetic moment in μB per cell: 0.00
E_form in meV per atom: -85
Final energy in Ry per atom: -0.228

```
data_InGa2Au
_chemical_formula_sum 'In1 Ga2 Au1'
_cell_length_a 4.3588
_cell_length_b 4.3588
_cell_length_c 5.9637
_cell_angle_alpha 68.57
_cell_angle_beta 68.57
_cell_angle_gamma 60.00
_symmetry_space_group_name_H-M 'P 1'
_symmetry_Int_Tables_number 1
_symmetry_space_group_name_Hall 'P 1'
loop_
_atom_site_label
_atom_site_type_symbol
_atom_site_fract_x
_atom_site_fract_y
_atom_site_fract_z
Ga1 Ga 0.0656 0.0656 0.8032
Au1 Au 0.6699 0.6699 0.9903
Ga2 Ga 0.2736 0.2736 0.1791
In1 In 0.4909 0.4909 0.5274
```

---

Entry 3:
This record from Alexandria via LeMat-Bulk describes a geometry-optimized InGa2Au2 structure. The functional is PBE.

Output
Magnetic moment in μB per cell: 0.00
E_form in meV per atom: -128
Distance to the lowest polymorph of the same formula in kJ/mol of atoms: 11.7
Final energy in Ry per atom: -0.235

```
data_InGa2Au2
_chemical_formula_sum 'In2 Ga4 Au4'
_cell_length_a 6.9258
_cell_length_b 6.9258
_cell_length_c 6.7199
_cell_angle_alpha 118.72
_cell_angle_beta 118.72
_cell_angle_gamma 94.12
_symmetry_space_group_name_H-M 'P 1'
_symmetry_Int_Tables_number 1
_symmetry_space_group_name_Hall 'P 1'
loop_
_atom_site_label
_atom_site_type_symbol
_atom_site_fract_x
_atom_site_fract_y
_atom_site_fract_z
Ga1 Ga 0.5193 0.7741 0.0455
Ga2 Ga 0.2259 0.4807 0.4545
Au1 Au 0.1480 0.8520 0.7500
Au2 Au 0.8520 0.1480 0.2500
In1 In 0.8729 0.1271 0.7500
In2 In 0.1271 0.8729 0.2500
Au3 Au 0.5971 0.4029 0.7500
Au4 Au 0.4029 0.5971 0.2500
Ga3 Ga 0.4807 0.2259 0.9545
Ga4 Ga 0.7741 0.5193 0.5455
```

---

| no. | density of states at the Fermi level (states/eV per atom) |
| --- | --- |
| 1 | 0.24 |
| 2 | 0.27 |
| 3 | 0.38 |